In3Pb2Au9 | GGA-PBE | optimized geometry

It has space group Cmcm (No. 63), with a = 13.669 Å, b = 8.650 Å, c = 10.232 Å, α = 90.00°, β = 90.00° and γ = 90.00°. Symmetry generates all atoms from In at (0.000, 0.000, 0.000), In at (0.189, 0.500, 0.000), Pb at (0.151, 0.163, 0.250), Au at (0.000, 0.137, 0.750), Au at (0.000, 0.337, 0.061), Au at (0.104, 0.467, 0.750) and Au at (0.165, 0.195, 0.593).

For the energy relative to the elements, the calculation gives -0.096 eV per atom. The calculation puts the density at 13.90 Mg/m³. The value obtained for the total magnetic moment is 0.00 μB/f.u.

***

InPbAu | GGA-PBE | optimized geometry

It has space group R-3m (No. 166, hexagonal axes), with a = 4.8053 Å, b = 4.8053 Å, c = 24.3884 Å, α = 90.00°, β = 90.00° and γ = 120.00°. Symmetry generates all atoms from In at (0.0000, 0.0000, 0.1268), Pb at (0.0000, 0.0000, 0.3784), Au at (0.0000, 0.0000, 0.0000) and Au at (0.0000, 0.0000, 0.5000).

For the energy relative to the elements, the calculation gives -0.124 eV per atom. The calculation puts the density at 10.60 Mg/m³. The value obtained for the total magnetic moment is 0.00 μB/f.u.

***

In2Pb8Au | GGA-PBE | optimized geometry

It has space group C2/m (No. 12), with a = 17.668 Å, b = 4.833 Å, c = 7.851 Å, α = 90.00°, β = 104.48° and γ = 90.00°. Symmetry generates all atoms from In at (0.226, 0.000, 0.137), Pb at (0.040, 0.000, 0.250), Pb at (0.093, 0.500, 0.958), Pb at (0.136, 0.000, 0.684), Pb at (0.175, 0.500, 0.414) and Au at (0.000, 0.500, 0.500).

For the energy relative to the elements, the calculation gives 0.016 eV per atom. The calculation puts the density at 10.66 Mg/m³. The value obtained for the total magnetic moment is 0.00 μB/f.u.

***

InPb5Au4 | GGA-PBE | optimized geometry

It has space group C2/m (No. 12), with a = 16.400 Å, b = 4.476 Å, c = 7.551 Å, α = 90.00°, β = 103.68° and γ = 90.00°. Symmetry generates all atoms from In at (0.000, 0.000, 0.000), Pb at (0.000, 0.000, 0.500), Pb at (0.170, 0.500, 0.568), Pb at (0.180, 0.500, 0.067), Au at (0.024, 0.500, 0.778) and Au at (0.142, 0.000, 0.297).

For the energy relative to the elements, the calculation gives -0.064 eV per atom. The calculation puts the density at 11.95 Mg/m³. The value obtained for the total magnetic moment is 0.00 μB/f.u.

***

InPbAu | GGA-PBE | optimized geometry

It has space group P4/nmm (No. 129, origin choice 2), with a = 4.437 Å, b = 4.437 Å, c = 7.679 Å, α = 90.00°, β = 90.00° and γ = 90.00°. Symmetry generates all atoms from In at (0.250, 0.750, 0.000), Pb at (0.250, 0.250, 0.369) and Au at (0.250, 0.250, 0.755).

For the energy relative to the elements, the calculation gives -0.104 eV per atom. The calculation puts the density at 11.40 Mg/m³. The value obtained for the total magnetic moment is 0.00 μB/f.u.

***

InPbAu | GGA-PBE | optimized geometry

It has space group P-1 (No. 2), with a = 3.963 Å, b = 6.144 Å, c = 7.272 Å, α = 114.98°, β = 105.51° and γ = 90.12°. Symmetry generates all atoms from In at (0.004, 0.262, 0.005), Pb at (0.292, 0.292, 0.586) and Au at (0.380, 0.885, 0.762).

For the energy relative to the elements, the calculation gives -0.108 eV per atom. The calculation puts the density at 11.24 Mg/m³. The value obtained for the total magnetic moment is 0.00 μB/f.u.

***

InPbAu | GGA-PBE | optimized geometry

It has space group P1 (No. 1), with a = 3.720 Å, b = 6.323 Å, c = 6.892 Å, α = 93.74°, β = 105.63° and γ = 90.11°. Symmetry generates all atoms from In at (0.000, 0.000, 0.000), In at (0.277, 0.247, 0.559), Pb at (0.325, 0.749, 0.641), Pb at (0.605, 0.509, 0.211), Au at (0.660, 0.984, 0.323) and Au at (0.929, 0.421, 0.860).

For the energy relative to the elements, the calculation gives -0.080 eV per atom. The calculation puts the density at 11.07 Mg/m³. The value obtained for the total magnetic moment is 0.00 μB/f.u.

***

InPbAu | GGA-PBE | optimized geometry

It has space group Fmm2 (No. 42), with a = 4.954 Å, b = 4.968 Å, c = 12.218 Å, α = 90.00°, β = 90.00° and γ = 90.00°. Symmetry generates all atoms from In at (0.000, 0.000, 0.000), Pb at (0.000, 0.000, 0.705) and Au at (0.000, 0.000, 0.369).

For the energy relative to the elements, the calculation gives -0.063 eV per atom. The calculation puts the density at 11.46 Mg/m³. The value obtained for the total magnetic moment is 0.00 μB/f.u.

***

InPbAu | GGA-PBE | optimized geometry

It has space group P3m1 (No. 156), with a = 4.6436 Å, b = 4.6436 Å, c = 4.2776 Å, α = 90.00°, β = 90.00° and γ = 120.00°. Symmetry generates all atoms from In at (0.0000, 0.0000, 0.0000), Pb at (0.6667, 0.3333, 0.4570) and Au at (0.3333, 0.6667, 0.7915).

For the energy relative to the elements, the calculation gives -0.070 eV per atom. The calculation puts the density at 10.79 Mg/m³. The value obtained for the total magnetic moment is 0.00 μB/f.u.

***

InPbAu6 | GGA-PBE | optimized geometry

It has space group P4/mmm (No. 123), with a = 4.310 Å, b = 4.310 Å, c = 8.583 Å, α = 90.00°, β = 90.00° and γ = 90.00°. Symmetry generates all atoms from In at (0.000, 0.000, 0.000), Pb at (0.000, 0.000, 0.500), Au at (0.000, 0.500, 0.237), Au at (0.500, 0.500, 0.000) and Au at (0.500, 0.500, 0.500).

For the energy relative to the elements, the calculation gives -0.010 eV per atom. As for the energy above the most stable polymorph in this dataset: 0.044 eV/atom. The calculation puts the density at 15.66 Mg/m³. The value obtained for the total magnetic moment is 0.00 μB/f.u.

***

InPbAu2 | GGA-PBE | optimized geometry

It has space group P4/mmm (No. 123), with a = 4.910 Å, b = 4.910 Å, c = 3.818 Å, α = 90.00°, β = 90.00° and γ = 90.00°. Symmetry generates all atoms from In at (0.000, 0.000, 0.000), Pb at (0.500, 0.500, 0.000) and Au at (0.000, 0.500, 0.500).

For the energy relative to the elements, the calculation gives -0.056 eV per atom. The calculation puts the density at 12.92 Mg/m³. The value obtained for the total magnetic moment is 0.00 μB/f.u.

***

InPbAu | GGA-PBE | optimized geometry

It has space group P-1 (No. 2), with a = 4.169 Å, b = 6.141 Å, c = 6.322 Å, α = 90.08°, β = 108.74° and γ = 90.92°. Symmetry generates all atoms from In at (0.000, 0.000, 0.000), In at (0.000, 0.500, 0.000), Pb at (0.297, 0.250, 0.598) and Au at (0.385, 0.751, 0.769).

For the energy relative to the elements, the calculation gives -0.093 eV per atom. The calculation puts the density at 11.25 Mg/m³. The value obtained for the total magnetic moment is 0.00 μB/f.u.